<a>
SmZrSb2 | PBE-GGA | relaxed

Calculated values
- magnetization (μB per formula unit) = 0.00
- D(E_F) (states/eV/cell) = 2.11
- symmetry = R-3m (166)

Geometry as CIF:
```
data_SmZrSb2
_space_group_name_H-M_alt 'P 1'
_space_group_IT_number 1
_space_group_name_Hall 'P 1'
_cell_length_a 4.2717
_cell_length_b 4.2717
_cell_length_c 7.5023
_cell_angle_alpha 73.46
_cell_angle_beta 73.46
_cell_angle_gamma 60.00
loop_
_atom_site_label
_atom_site_fract_x
_atom_site_fract_y
_atom_site_fract_z
Sb1 0.2564 0.2564 0.2307
Sb2 0.7436 0.7436 0.7693
Sm1 0.5000 0.5000 0.5000
Zr1 0.0000 0.0000 0.0000
```


<b>
SmZrSb2 | PBE-GGA | relaxed

Calculated values
- magnetization (μB per formula unit) = 0.00
- D(E_F) (states/eV/cell) = 4.44
- symmetry = P4/nmm (129)

Geometry as CIF:
```
data_SmZrSb2
_space_group_name_H-M_alt 'P 1'
_space_group_IT_number 1
_space_group_name_Hall 'P 1'
_cell_length_a 4.3545
_cell_length_b 4.3545
_cell_length_c 11.2372
_cell_angle_alpha 90.00
_cell_angle_beta 90.00
_cell_angle_gamma 90.00
loop_
_atom_site_label
_atom_site_fract_x
_atom_site_fract_y
_atom_site_fract_z
Zr1 0.0000 0.0000 0.0000
Zr2 0.5000 0.5000 0.0000
Sb1 0.5000 0.0000 0.1861
Sb2 0.0000 0.5000 0.8139
Sb3 0.0000 0.0000 0.5000
Sb4 0.5000 0.5000 0.5000
Sm1 0.0000 0.5000 0.2812
Sm2 0.5000 0.0000 0.7188
```


What should be chosen as the least stable of them? Choose <b>.


<a>
Sn4Sb | PBE-GGA | relaxed

Calculated values
- magnetization (μB per formula unit) = 0.00
- D(E_F) (states/eV/cell) = 1.57
- symmetry = P-3m1 (164)

Geometry as CIF:
```
data_Sn4Sb
_space_group_name_H-M_alt 'P 1'
_space_group_IT_number 1
_space_group_name_Hall 'P 1'
_cell_length_a 4.5924
_cell_length_b 4.5924
_cell_length_c 9.9993
_cell_angle_alpha 90.00
_cell_angle_beta 90.00
_cell_angle_gamma 60.00
loop_
_atom_site_label
_atom_site_fract_x
_atom_site_fract_y
_atom_site_fract_z
Sn1 0.3333 0.3333 0.8453
Sn2 0.6667 0.6667 0.4473
Sn3 0.3333 0.3333 0.5527
Sn4 0.6667 0.6667 0.1547
Sb1 0.0000 0.0000 0.0000
```


<b>
Sn4Sb | PBE-GGA | relaxed

Calculated values
- magnetization (μB per formula unit) = 0.00
- D(E_F) (states/eV/cell) = 3.42
- symmetry = Pm-3m (221)

Geometry as CIF:
```
data_Sn4Sb
_space_group_name_H-M_alt 'P 1'
_space_group_IT_number 1
_space_group_name_Hall 'P 1'
_cell_length_a 5.6980
_cell_length_b 5.6980
_cell_length_c 5.6980
_cell_angle_alpha 90.00
_cell_angle_beta 90.00
_cell_angle_gamma 90.00
loop_
_atom_site_label
_atom_site_fract_x
_atom_site_fract_y
_atom_site_fract_z
Sn1 0.5000 0.0000 0.5000
Sn2 0.5000 0.5000 0.0000
Sn3 0.0000 0.5000 0.5000
Sn4 0.0000 0.0000 0.0000
Sb1 0.5000 0.5000 0.5000
```


What should be chosen as the least stable of them? Choose <b>.


<a>
SnSb2 | PBE-GGA | relaxed

Calculated values
- magnetization (μB per formula unit) = 0.00
- D(E_F) (states/eV/cell) = 2.79
- symmetry = Imma (74)

Geometry as CIF:
```
data_SnSb2
_space_group_name_H-M_alt 'P 1'
_space_group_IT_number 1
_space_group_name_Hall 'P 1'
_cell_length_a 3.2350
_cell_length_b 5.9935
_cell_length_c 9.7918
_cell_angle_alpha 107.82
_cell_angle_beta 99.51
_cell_angle_gamma 90.00
loop_
_atom_site_label
_atom_site_fract_x
_atom_site_fract_y
_atom_site_fract_z
Sb1 0.8382 0.5882 0.6763
Sb2 0.1618 0.4118 0.3237
Sb3 0.0024 0.2524 0.0047
Sb4 0.9976 0.7476 0.9953
Sn1 0.3280 0.0780 0.6559
Sn2 0.6720 0.9220 0.3441
```


<b>
SnSb2 | PBE-GGA | relaxed

Calculated values
- magnetization (μB per formula unit) = 0.00
- D(E_F) (states/eV/cell) = 3.74
- symmetry = Fd-3m (227)

Geometry as CIF:
```
data_SnSb2
_space_group_name_H-M_alt 'P 1'
_space_group_IT_number 1
_space_group_name_Hall 'P 1'
_cell_length_a 6.3042
_cell_length_b 6.3042
_cell_length_c 6.3042
_cell_angle_alpha 60.00
_cell_angle_beta 60.00
_cell_angle_gamma 60.00
loop_
_atom_site_label
_atom_site_fract_x
_atom_site_fract_y
_atom_site_fract_z
Sb1 0.1250 0.6250 0.6250
Sb2 0.6250 0.1250 0.6250
Sb3 0.6250 0.6250 0.1250
Sb4 0.6250 0.6250 0.6250
Sn1 0.2500 0.2500 0.2500
Sn2 0.0000 0.0000 0.0000
```


<c>
SnSb2 | PBE-GGA | relaxed

Calculated values
- magnetization (μB per formula unit) = 0.00
- D(E_F) (states/eV/cell) = 1.52
- symmetry = C2/m (12)

Geometry as CIF:
```
data_SnSb2
_space_group_name_H-M_alt 'P 1'
_space_group_IT_number 1
_space_group_name_Hall 'P 1'
_cell_length_a 3.8414
_cell_length_b 3.8414
_cell_length_c 6.3022
_cell_angle_alpha 109.30
_cell_angle_beta 109.30
_cell_angle_gamma 87.39
loop_
_atom_site_label
_atom_site_fract_x
_atom_site_fract_y
_atom_site_fract_z
Sn1 0.5000 0.5000 0.0000
Sb1 0.8294 0.8294 0.6500
Sb2 0.1706 0.1706 0.3500
```


What should be chosen as the least stable of them? Choose <b>.